1.
Tm4HgPt | GGA-PBE | relaxed

Cell: 7.157 6.996 6.931 Å, 90.00 92.67 90.00°
Sites, in units of the cell vectors:
Tm 0.145 0.159 0.173
Tm 0.145 0.341 0.673
Tm 0.328 0.647 0.131
Tm 0.328 0.853 0.631
Tm 0.672 0.147 0.369
Tm 0.672 0.353 0.869
Tm 0.855 0.659 0.327
Tm 0.855 0.841 0.827
Hg 0.500 0.000 0.000
Hg 0.500 0.500 0.500
Pt 0.000 0.000 0.500
Pt 0.000 0.500 0.000

## Properties
V (A^3/atom): 28.89
Calculated formation energy (kJ/mol of atoms): -46.49
Crystal system: monoclinic

---

2.
Tm4HgPt2 | GGA-PBE | relaxed

Cell: 8.708 8.708 8.708 Å, 32.45 32.45 32.45°
Sites, in units of the cell vectors:
Tm 0.118 0.118 0.118
Tm 0.372 0.372 0.372
Tm 0.628 0.628 0.628
Tm 0.882 0.882 0.882
Hg 0.500 0.500 0.500
Pt 0.256 0.256 0.256
Pt 0.744 0.744 0.744

## Properties
V (A^3/atom): 24.14
Calculated formation energy (kJ/mol of atoms): -86.19
Crystal system: trigonal

---

3.
Tm6Hg3Pt | GGA-PBE | relaxed

Cell: 8.789 11.644 5.036 Å, 90.00 90.00 90.00°
Sites, in units of the cell vectors:
Tm 0.009 0.243 0.000
Tm 0.156 0.085 0.500
Tm 0.186 0.412 0.500
Tm 0.314 0.912 0.000
Tm 0.344 0.585 0.000
Tm 0.491 0.743 0.500
Tm 0.509 0.257 0.500
Tm 0.656 0.415 0.000
Tm 0.686 0.088 0.000
Tm 0.814 0.588 0.500
Tm 0.844 0.915 0.500
Tm 0.991 0.757 0.000
Hg 0.000 0.500 0.000
Hg 0.157 0.721 0.500
Hg 0.343 0.221 0.000
Hg 0.500 0.000 0.500
Hg 0.657 0.779 0.000
Hg 0.843 0.279 0.500
Pt 0.000 0.000 0.000
Pt 0.500 0.500 0.500

## Properties
V (A^3/atom): 25.77
Calculated formation energy (kJ/mol of atoms): -50.25
Crystal system: orthorhombic